Entry 1:
# TlCu3Pd6 PBE-GGA relaxed
# offset from the most stable computed form: 119 meV/atom
# DOS at the Fermi energy: 8.78 states/eV/f.u.
# formation energy: 0.3 kJ/mol of atoms
data_TlCu3Pd6
_space_group_name_H-M_alt 'C m c 21'
_space_group_IT_number 36
_cell_length_a 9.680
_cell_length_b 11.954
_cell_length_c 5.446
_cell_angle_alpha 90.00
_cell_angle_beta 90.00
_cell_angle_gamma 90.00
loop_
_space_group_symop_operation_xyz
'x,y,z'
'-x,-y,z+1/2'
'-x,y,z'
'x,-y,z+1/2'
'x+1/2,y+1/2,z'
'-x+1/2,-y+1/2,z+1/2'
'-x+1/2,y+1/2,z'
'x+1/2,-y+1/2,z+1/2'
loop_
_atom_site_label
_atom_site_fract_x
_atom_site_fract_y
_atom_site_fract_z
_atom_site_occupancy
Tl1 0.000 0.212 0.000 1
Cu1 0.000 0.002 0.726 1
Cu2 0.122 0.373 0.665 1
Pd1 0.000 0.190 0.492 1
Pd2 0.000 0.435 0.230 1
Pd3 0.227 0.021 0.462 1
Pd4 0.236 0.298 0.265 1

---

Entry 2:
# TlCu6Pd12 PBE-GGA relaxed
# offset from the most stable computed form: 0 meV/atom
# DOS at the Fermi energy: 15.94 states/eV/f.u.
# formation energy: -8.6 kJ/mol of atoms
data_TlCu6Pd12
_space_group_name_H-M_alt 'R -3'
_space_group_IT_number 148
_space_group_name_Hall '-R 3'
_cell_length_a 12.0048
_cell_length_b 12.0048
_cell_length_c 6.7730
_cell_angle_alpha 90.00
_cell_angle_beta 90.00
_cell_angle_gamma 120.00
loop_
_atom_site_label
_atom_site_fract_x
_atom_site_fract_y
_atom_site_fract_z
_atom_site_occupancy
Tl1 0.0000 0.0000 0.0000 1
Cu1 0.0333 0.2797 0.3289 1
Pd1 0.0118 0.1426 0.6605 1
Pd2 0.0636 0.5591 0.6718 1